The following is a DFT calculation (PBE-GGA) of a relaxed FeHg3As crystal.

The structure in extended XYZ format:
```
5
Lattice="4.996 0.000 0.000 0.000 4.996 0.000 0.000 0.000 4.996" Properties=species:S:1:pos:R:3 pbc="T T T"
Fe 0.000 0.000 0.000
Hg 0.000 0.000 2.498
Hg 0.000 2.498 0.000
Hg 2.498 0.000 0.000
As 2.498 2.498 2.498
```

Output
As for the crystal system: cubic. The distance to the lowest polymorph of the same formula comes out at 3.2 meV/atom. As for the formation energy from the elements: 4.6 eV per formula unit. For the total magnetic moment, the calculation gives 0.0000 μB per atom. Its uncorrected energy is -1.88 eV per atom.



The following is a DFT calculation (PBE-GGA) of a relaxed La2NbFeSi crystal.

The structure in extended XYZ format:
```
5
Lattice="5.183 0.000 0.000 0.000 5.183 0.000 0.000 0.000 4.661" Properties=species:S:1:pos:R:3 pbc="T T T"
La 0.000 2.592 0.000
La 2.592 0.000 0.000
Nb 0.000 0.000 2.330
Fe 0.000 0.000 0.000
Si 2.592 2.592 2.330
```

Output
As for the crystal system: tetragonal. For the total magnetic moment, the calculation gives 0.2381 μB per atom. Its uncorrected energy is -6.49 eV per atom.



The following is a DFT calculation (PBE-GGA) of a relaxed CaO crystal.

The structure in extended XYZ format:
```
8
Lattice="0.000 3.967 3.967 3.967 0.000 3.967 3.967 3.967 0.000" Properties=species:S:1:pos:R:3 pbc="T T T"
Ca 0.000 0.000 0.000
Ca 1.984 1.984 0.000
Ca 1.984 0.000 1.984
Ca 0.000 1.984 1.984
O 3.967 1.984 1.984
O 1.984 3.967 1.984
O 1.984 1.984 3.967
O 3.967 3.967 3.967
```

Output
As for the crystal system: cubic. For the total magnetic moment, the calculation gives 0.2641 μB per atom. Its uncorrected energy is -3.71 eV per atom.